<1>
# LiCoAs2 (PBE, optimized geometry)
# - calculated density (g/cm3) = 6.17
# - total magnetization (μB/cell) = 0.00
data_LiCoAs2
_cell_length_a 6.1479
_cell_length_b 6.1479
_cell_length_c 6.1479
_cell_angle_alpha 90.00
_cell_angle_beta 90.00
_cell_angle_gamma 90.00
_symmetry_space_group_name_H-M 'F -4 3 m'
_symmetry_Int_Tables_number 216
_symmetry_space_group_name_Hall 'F -4 2 3'
loop_
_atom_site_label
_atom_site_type_symbol
_atom_site_fract_x
_atom_site_fract_y
_atom_site_fract_z
_atom_site_occupancy
Li1 Li 0.0000 0.0000 0.0000 1
Co1 Co 0.2500 0.2500 0.2500 1
As1 As 0.0000 0.0000 0.5000 1
As2 As 0.2500 0.2500 0.7500 1

***

<2>
# LiCoAs2 (PBE, optimized geometry)
# - calculated density (g/cm3) = 4.31
# - total magnetization (μB/cell) = 0.00
data_LiCoAs2
_cell_length_a 6.1403
_cell_length_b 6.1403
_cell_length_c 8.8229
_cell_angle_alpha 90.00
_cell_angle_beta 90.00
_cell_angle_gamma 90.00
_symmetry_space_group_name_H-M 'I -4 2 d'
_symmetry_Int_Tables_number 122
_symmetry_space_group_name_Hall 'I -4 2bw'
loop_
_atom_site_label
_atom_site_type_symbol
_atom_site_fract_x
_atom_site_fract_y
_atom_site_fract_z
_atom_site_occupancy
Li1 Li 0.0000 0.0000 0.0000 1
Co1 Co 0.0000 0.0000 0.5000 1
As1 As 0.1899 0.2500 0.6250 1

***

The relative energies come out as <1> 19.0; <2> 0.0, with values in kJ/mol of atoms.

***

<1>
# LiCoAs2 (PBE, optimized geometry)
# - calculated density (g/cm3) = 5.58
# - total magnetization (μB/cell) = 0.00
data_LiCoAs2
_cell_length_a 7.1116
_cell_length_b 3.4127
_cell_length_c 5.4491
_cell_angle_alpha 90.00
_cell_angle_beta 104.04
_cell_angle_gamma 90.00
_symmetry_space_group_name_H-M 'C 1 2/m 1'
_symmetry_Int_Tables_number 12
_symmetry_space_group_name_Hall '-C 2y'
loop_
_atom_site_label
_atom_site_type_symbol
_atom_site_fract_x
_atom_site_fract_y
_atom_site_fract_z
_atom_site_occupancy
Li1 Li 0.0000 0.0000 0.0000 1
Co1 Co 0.0000 0.5000 0.5000 1
As1 As 0.2298 0.0000 0.6877 1

***

<2>
# LiCoAs2 (PBE, optimized geometry)
# - calculated density (g/cm3) = 6.19
# - total magnetization (μB/cell) = 0.90
data_LiCoAs2
_cell_length_a 4.1523
_cell_length_b 2.9087
_cell_length_c 5.1673
_cell_angle_alpha 90.00
_cell_angle_beta 112.02
_cell_angle_gamma 90.00
_symmetry_space_group_name_H-M 'P 1 2/m 1'
_symmetry_Int_Tables_number 10
_symmetry_space_group_name_Hall '-P 2y'
loop_
_atom_site_label
_atom_site_type_symbol
_atom_site_fract_x
_atom_site_fract_y
_atom_site_fract_z
_atom_site_occupancy
Li1 Li 0.0000 0.0000 0.0000 1
Co1 Co 0.5000 0.5000 0.5000 1
As1 As 0.0000 0.0000 0.5000 1
As2 As 0.5000 0.5000 0.0000 1

***

<3>
# LiCoAs2 (PBE, optimized geometry)
# - calculated density (g/cm3) = 5.60
# - total magnetization (μB/cell) = 0.22
data_LiCoAs2
_cell_length_a 2.7012
_cell_length_b 3.7802
_cell_length_c 6.2663
_cell_angle_alpha 90.00
_cell_angle_beta 90.00
_cell_angle_gamma 90.00
_symmetry_space_group_name_H-M 'P m m 2'
_symmetry_Int_Tables_number 25
_symmetry_space_group_name_Hall 'P 2 -2'
loop_
_atom_site_label
_atom_site_type_symbol
_atom_site_fract_x
_atom_site_fract_y
_atom_site_fract_z
_atom_site_occupancy
Li1 Li 0.0000 0.0000 0.0000 1
Co1 Co 0.5000 0.5000 0.7517 1
As1 As 0.0000 0.0000 0.6047 1
As2 As 0.5000 0.5000 0.1343 1

***

The relative energies come out as <1> 0.0; <2> 22.0; <3> 19.0, with values in kJ/mol of atoms.

***

<1>
# LiCoAs2 (PBE, optimized geometry)
# - calculated density (g/cm3) = 6.33
# - total magnetization (μB/cell) = 0.00
data_LiCoAs2
_cell_length_a 4.0639
_cell_length_b 4.0639
_cell_length_c 3.4237
_cell_angle_alpha 90.00
_cell_angle_beta 90.00
_cell_angle_gamma 90.00
_symmetry_space_group_name_H-M 'P 4/m m m'
_symmetry_Int_Tables_number 123
_symmetry_space_group_name_Hall '-P 4 2'
loop_
_atom_site_label
_atom_site_type_symbol
_atom_site_fract_x
_atom_site_fract_y
_atom_site_fract_z
_atom_site_occupancy
Li1 Li 0.0000 0.0000 0.0000 1
Co1 Co 0.5000 0.5000 0.0000 1
As1 As 0.0000 0.5000 0.5000 1

***

<2>
# LiCoAs2 (PBE, optimized geometry)
# - calculated density (g/cm3) = 5.63
# - total magnetization (μB/cell) = 0.57
data_LiCoAs2
_cell_length_a 2.7997
_cell_length_b 3.4642
_cell_length_c 13.1239
_cell_angle_alpha 90.00
_cell_angle_beta 90.00
_cell_angle_gamma 90.00
_symmetry_space_group_name_H-M 'I m m 2'
_symmetry_Int_Tables_number 44
_symmetry_space_group_name_Hall 'I 2 -2'
loop_
_atom_site_label
_atom_site_type_symbol
_atom_site_fract_x
_atom_site_fract_y
_atom_site_fract_z
_atom_site_occupancy
Li1 Li 0.0000 0.0000 0.0000 1
Co1 Co 0.0000 0.5000 0.2691 1
As1 As 0.0000 0.0000 0.6229 1
As2 As 0.0000 0.5000 0.8438 1

***

The relative energies come out as <1> 15.9; <2> 0.0, with values in kJ/mol of atoms.